No. 1
DFT (PBE) results for a relaxed structure of Ce2MnPdS5.

POSCAR file:
```
Ce2MnPdS5
1.0
-2.715 2.257 1.582
-3.120 -7.409 0.484
5.002 -1.414 10.599
Ce Mn Pd S
4 2 2 10
Cartesian
-0.609 -4.960 10.759
2.303 -2.613 7.680
0.744 -1.879 3.957
-3.703 -3.791 3.784
-1.572 -3.775 7.417
-1.302 -2.213 0.924
2.637 -1.146 10.890
-1.624 -5.941 5.688
-2.872 -4.150 0.992
0.967 -2.627 10.138
2.382 0.010 8.802
0.547 -4.916 7.952
-3.090 -5.745 7.623
-0.317 -1.749 6.681
-0.976 -4.171 4.275
-3.166 -6.589 3.966
-2.137 -1.435 3.110
0.028 -0.190 0.319
```

## Properties
Formation energy from raw total energies (eV per atom): -1.29
V (Å³ per atom): 19.8
Space group: Cmc2_1, No. 36
M_tot (Bohr magnetons per cell): 10.19
Raw total energy (eV/atom): -6.4949

No. 2
DFT (PBE) results for a relaxed structure of Ba2MnInCu.

POSCAR file:
```
Ba2MnInCu
1.0
-1.037 -5.084 -3.315
-0.229 -2.576 4.021
-6.062 1.031 0.315
Mn Ba Cu In
1 2 1 1
Cartesian
-0.115 -1.288 2.011
-3.031 0.516 0.158
-0.519 -2.542 -1.658
0.000 0.000 0.000
-3.664 -3.314 0.511
```

## Properties
V (Å³ per atom): 36.3
Space group: P4/mmm, No. 123
M_tot (Bohr magnetons per cell): 4.32
Raw total energy (eV/atom): -3.7406